BaNa after structural relaxation. Source: Alexandria via LeMat-Bulk, functional PBE.

Output
E_form	0.571	eV per atom
Fermi-level density of states	16.9	states/eV/cell
electronic total energy	-1.049	eV/atom
volume	597.2	Å³ per cell
ΔE to the lowest computed polymorph	0.592	eV/atom
ρ	1.78	g/cm3

Unit cell a=8.4213 b=8.4213 c=8.4213 alpha=90.00 beta=90.00 gamma=90.00
Sites, in units of the cell vectors:
Na: 0.2500 0.7500 0.7500
Na: 0.7500 0.2500 0.7500
Na: 0.2500 0.2500 0.2500
Na: 0.7500 0.7500 0.2500
Ba: 0.0000 0.0000 0.0000
Ba: 0.0000 0.5000 0.5000
Ba: 0.5000 0.0000 0.5000
Ba: 0.5000 0.5000 0.0000